Entry 1:
A plane-wave DFT calculation with PBE was carried out for a relaxed structure of Tl2Pd3O4.

Cell lengths 8.188, 8.188, 8.188 Å; angles 157.84, 140.38, 45.85 degrees
Atoms (fractional coordinates):
O 0.659 0.903 0.757
O 0.341 0.097 0.243
O 0.854 0.097 0.757
O 0.146 0.903 0.243
Tl 0.707 0.707 0.000
Tl 0.293 0.293 0.000
Pd 0.907 0.407 0.500
Pd 0.500 0.000 0.500
Pd 0.093 0.593 0.500

Calculated values
* symmetry: Immm (71)
* calculated total energy: -4.916 eV/atom
* ρ: 9.987 Mg/m³

Entry 2:
A plane-wave DFT calculation with PBE was carried out for a relaxed structure of Tl2Pd2O3.

Cell lengths 6.489, 6.489, 6.489 Å; angles 109.47, 109.47, 109.47 degrees
Atoms (fractional coordinates):
Pd 0.000 0.882 0.500
Pd 0.618 0.618 0.618
Pd 0.882 0.500 0.000
Pd 0.500 0.000 0.882
O 0.750 0.790 0.040
O 0.460 0.250 0.710
O 0.790 0.040 0.750
O 0.040 0.750 0.790
O 0.250 0.710 0.460
O 0.710 0.460 0.250
Tl 0.500 0.000 0.381
Tl 0.119 0.119 0.119
Tl 0.381 0.500 0.000
Tl 0.000 0.381 0.500

Calculated values
* symmetry: I2_13 (199)
* calculated total energy: -4.254 eV/atom
* offset from the most stable computed form: 0.086 eV per atom
* ρ: 10.574 Mg/m³

Entry 3:
A plane-wave DFT calculation with PBE was carried out for a relaxed structure of Tl2PdO4.

Cell lengths 6.671, 6.671, 6.671 Å; angles 119.99, 90.01, 119.99 degrees
Atoms (fractional coordinates):
O 0.129 0.259 0.388
O 0.621 0.241 0.379
O 0.621 0.759 0.379
O 0.612 0.741 0.871
O 0.621 0.241 0.862
O 0.129 0.741 0.871
O 0.129 0.259 0.871
O 0.138 0.759 0.379
Tl 0.375 0.750 0.625
Tl 0.875 0.250 0.625
Tl 0.375 0.250 0.625
Tl 0.375 0.750 0.125
Pd 0.000 0.000 0.000
Pd 0.750 0.500 0.250

Calculated values
* symmetry: Fd-3m (227)
* calculated total energy: -4.582 eV/atom
* offset from the most stable computed form: 0.252 eV per atom
* ρ: 9.163 Mg/m³

Entry 4:
A plane-wave DFT calculation with PBE was carried out for a relaxed structure of Tl2PdO4.

Cell lengths 5.618, 5.618, 11.839 Å; angles 90.00, 90.00, 90.00 degrees
Atoms (fractional coordinates):
O 0.324 0.824 0.007
O 0.676 0.324 0.493
O 0.754 0.277 0.245
O 0.824 0.676 0.993
O 0.176 0.176 0.507
O 0.254 0.277 0.255
O 0.824 0.824 0.493
O 0.246 0.777 0.255
O 0.676 0.176 0.993
O 0.254 0.223 0.755
O 0.746 0.777 0.245
O 0.746 0.723 0.745
O 0.754 0.223 0.745
O 0.324 0.676 0.507
O 0.176 0.324 0.007
O 0.246 0.723 0.755
Tl 0.507 0.528 0.342
Tl 0.493 0.028 0.158
Tl 0.993 0.472 0.842
Tl 0.993 0.028 0.342
Tl 0.493 0.472 0.658
Tl 0.507 0.972 0.842
Tl 0.007 0.528 0.158
Tl 0.007 0.972 0.658
Pd 0.500 0.500 0.000
Pd 0.000 0.500 0.500
Pd 0.000 0.000 0.000
Pd 0.500 0.000 0.500

Calculated values
* symmetry: Pbca (61)
* calculated total energy: -4.727 eV/atom
* offset from the most stable computed form: 0.106 eV per atom
* ρ: 10.295 Mg/m³

Entry 5:
A plane-wave DFT calculation with PBE was carried out for a relaxed structure of Tl2PdO4.

Cell lengths 6.005, 8.147, 8.147 Å; angles 90.00, 90.00, 90.00 degrees
Atoms (fractional coordinates):
O 0.075 0.262 0.071
O 0.575 0.571 0.762
O 0.925 0.762 0.571
O 0.575 0.262 0.929
O 0.425 0.929 0.738
O 0.075 0.571 0.238
O 0.425 0.071 0.262
O 0.925 0.238 0.429
O 0.075 0.429 0.762
O 0.925 0.071 0.738
O 0.925 0.929 0.262
O 0.425 0.238 0.571
O 0.075 0.738 0.929
O 0.575 0.738 0.071
O 0.575 0.429 0.238
O 0.425 0.762 0.429
Tl 0.250 0.671 0.671
Tl 0.750 0.671 0.329
Tl 0.750 0.829 0.829
Tl 0.250 0.329 0.329
Tl 0.750 0.171 0.171
Tl 0.250 0.171 0.829
Tl 0.250 0.829 0.171
Tl 0.750 0.329 0.671
Pd 0.554 0.500 0.000
Pd 0.446 0.000 0.500
Pd 0.946 0.000 0.500
Pd 0.054 0.500 0.000

Calculated values
* symmetry: P4/ncc (130)
* calculated total energy: -4.834 eV/atom
* offset from the most stable computed form: 0.000 eV per atom
* ρ: 9.653 Mg/m³

Entry 6:
A plane-wave DFT calculation with PBE was carried out for a relaxed structure of TlPdO3.

Cell lengths 3.927, 3.927, 4.149 Å; angles 90.00, 90.00, 90.00 degrees
Atoms (fractional coordinates):
O 0.500 0.500 0.076
O 0.000 0.500 0.634
O 0.500 0.000 0.634
Pd 0.500 0.500 0.561
Tl 0.000 0.000 0.996

Calculated values
* symmetry: P4mm (99)
* calculated total energy: -4.714 eV/atom
* ρ: 9.311 Mg/m³

Entry 7:
A plane-wave DFT calculation with PBE was carried out for a relaxed structure of Tm2Pd2O5.

Cell lengths 6.797, 3.985, 3.985 Å; angles 90.00, 90.00, 90.00 degrees
Atoms (fractional coordinates):
O 0.500 0.500 0.500
O 0.225 0.500 0.000
O 0.225 0.000 0.500
O 0.775 0.000 0.500
O 0.775 0.500 0.000
Tm 0.500 0.000 0.000
Tm 0.000 0.000 0.000
Pd 0.810 0.500 0.500
Pd 0.190 0.500 0.500

Calculated values
* symmetry: P4/mmm (123)
* calculated total energy: -6.523 eV/atom
* offset from the most stable computed form: 0.000 eV per atom
* ρ: 9.704 Mg/m³

Entry 8:
A plane-wave DFT calculation with PBE was carried out for a relaxed structure of Tm2Pd2O5.

Cell lengths 8.376, 3.875, 3.875 Å; angles 90.00, 90.00, 90.00 degrees
Atoms (fractional coordinates):
Pd 0.500 0.000 0.000
Pd 0.000 0.000 0.000
O 0.144 0.000 0.500
O 0.144 0.500 0.000
O 0.500 0.500 0.500
O 0.856 0.500 0.000
O 0.856 0.000 0.500
Tm 0.250 0.500 0.500
Tm 0.750 0.500 0.500

Calculated values
* symmetry: P4/mmm (123)
* calculated total energy: -6.513 eV/atom
* offset from the most stable computed form: 0.011 eV per atom
* ρ: 8.329 Mg/m³

Entry 9:
A plane-wave DFT calculation with PBE was carried out for a relaxed structure of TmZn3Pd4O12.

Cell lengths 6.551, 6.551, 6.551 Å; angles 109.47, 109.47, 109.47 degrees
Atoms (fractional coordinates):
O 0.705 0.833 0.539
O 0.295 0.167 0.461
O 0.295 0.833 0.128
O 0.872 0.705 0.167
O 0.167 0.872 0.705
O 0.167 0.461 0.295
O 0.461 0.295 0.167
O 0.833 0.128 0.295
O 0.539 0.705 0.833
O 0.833 0.539 0.705
O 0.705 0.167 0.872
O 0.128 0.295 0.833
Zn 0.500 0.000 0.500
Zn 0.500 0.500 0.000
Zn 0.000 0.500 0.500
Pd 0.000 0.000 0.500
Pd 0.000 0.500 0.000
Pd 0.500 0.000 0.000
Pd 0.500 0.500 0.500
Tm 0.000 0.000 0.000

Calculated values
* symmetry: Im-3 (204)
* calculated total energy: -5.393 eV/atom
* ρ: 7.540 Mg/m³

What did the second record say?
A plane-wave DFT calculation with PBE was carried out for a relaxed structure of Tl2Pd2O3.

Cell lengths 6.489, 6.489, 6.489 Å; angles 109.47, 109.47, 109.47 degrees
Atoms (fractional coordinates):
Pd 0.000 0.882 0.500
Pd 0.618 0.618 0.618
Pd 0.882 0.500 0.000
Pd 0.500 0.000 0.882
O 0.750 0.790 0.040
O 0.460 0.250 0.710
O 0.790 0.040 0.750
O 0.040 0.750 0.790
O 0.250 0.710 0.460
O 0.710 0.460 0.250
Tl 0.500 0.000 0.381
Tl 0.119 0.119 0.119
Tl 0.381 0.500 0.000
Tl 0.000 0.381 0.500

Calculated values
* symmetry: I2_13 (199)
* calculated total energy: -4.254 eV/atom
* offset from the most stable computed form: 0.086 eV per atom
* ρ: 10.574 Mg/m³

Which formula does entry 1 have? Tl2Pd3O4